# Co2MoPdF PBE+U optimized geometry
data_Co2MoPdF
_space_group_name_H-M_alt 'P 4/m m m'
_space_group_IT_number 123
_space_group_name_Hall '-P 4 2'
_cell_length_a 4.688
_cell_length_b 4.688
_cell_length_c 5.390
_cell_angle_alpha 90.00
_cell_angle_beta 90.00
_cell_angle_gamma 90.00
loop_
_atom_site_label
_atom_site_fract_x
_atom_site_fract_y
_atom_site_fract_z
Co1 0.000 0.500 0.000
Mo1 0.000 0.000 0.500
Pd1 0.000 0.000 0.000
F1 0.500 0.500 0.500
# Density of states at the Fermi level (states/eV/cell): 3.727
# Total magnetic moment (μB per formula unit): 9.2
# E_tot (eV per atom): -3.856